[1]
The following is a DFT calculation (GGA-PBE) of Pr2BiH2 after structural relaxation.

Cell: 4.1183 4.1184 6.7838 Å, 107.67 107.67 90.00°
Closest atoms and distances in Å follow each position.
Fractional coordinates of all 5 atoms:
H (0.2500, 0.7500, 0.5000)  4 Pr 2.41
H (0.7500, 0.2500, 0.5000)  4 Pr 2.41
Pr (0.6471, 0.6471, 0.2942)  4 H 2.41
Pr (0.3529, 0.3529, 0.7058)  4 H 2.41
Bi (0.0000, 0.0000, 0.0000)  8 Pr 3.42, 8 H 3.69

Summary:
- E (eV per atom) = -4.747
- SG = I4/mmm (139)


[2]
The following is a DFT calculation (GGA-PBE) of LiGdScFe after structural relaxation.

Cell: 4.7167 4.7167 4.7167 Å, 60.00 60.00 60.00°
Closest atoms and distances in Å follow each position.
Fractional coordinates of all 4 atoms:
Gd (0.5000, 0.5000, 0.5000)  4 Fe 2.89, 4 Li 2.89
Li (0.7500, 0.7500, 0.7500)  4 Gd 2.89, 4 Sc 2.89
Fe (0.2500, 0.2500, 0.2500)  4 Gd 2.89, 4 Sc 2.89
Sc (0.0000, 0.0000, 0.0000)  4 Fe 2.89, 4 Li 2.89

Summary:
- ΔH_f (0 K) (meV/atom) = 70
- E (eV per atom) = -7.627
- SG = F-43m (216)


Number 2 is which compound?
LiGdScFe